(1)
# TaRhAu | the Alexandria database | PBEsol | relaxed
# VASP energy (eV/atom): -8.59
# DFT formation energy (eV/atom): -0.389
# D(E_F) (states/eV/atom): 0.63
data_TaRhAu
_cell_length_a 2.9386
_cell_length_b 3.7685
_cell_length_c 8.5134
_cell_angle_alpha 90.00
_cell_angle_beta 90.00
_cell_angle_gamma 90.00
_symmetry_space_group_name_H-M 'I m m 2'
_symmetry_Int_Tables_number 44
_symmetry_space_group_name_Hall 'I 2 -2'
loop_
_atom_site_label
_atom_site_type_symbol
_atom_site_fract_x
_atom_site_fract_y
_atom_site_fract_z
Ta1 Ta 0.0000 0.0000 0.0000
Rh1 Rh 0.0000 0.0000 0.3455
Au1 Au 0.0000 0.0000 0.6729

=====

(2)
# TaRhAu | the Alexandria database | PBEsol | relaxed
# VASP energy (eV/atom): -8.01
# DFT formation energy (eV/atom): 0.191
# D(E_F) (states/eV/atom): 1.04
data_TaRhAu
_cell_length_a 6.0548
_cell_length_b 6.0548
_cell_length_c 6.0548
_cell_angle_alpha 90.00
_cell_angle_beta 90.00
_cell_angle_gamma 90.00
_symmetry_space_group_name_H-M 'F -4 3 m'
_symmetry_Int_Tables_number 216
_symmetry_space_group_name_Hall 'F -4 2 3'
loop_
_atom_site_label
_atom_site_type_symbol
_atom_site_fract_x
_atom_site_fract_y
_atom_site_fract_z
Ta1 Ta 0.0000 0.0000 0.0000
Rh1 Rh 0.2500 0.2500 0.2500
Au1 Au 0.0000 0.0000 0.5000

=====

(3)
# TcRhAu2 | the Alexandria database | PBEsol | relaxed
# VASP energy (eV/atom): -6.54
# DFT formation energy (eV/atom): 0.274
# D(E_F) (states/eV/atom): 0.98
data_TcRhAu2
_cell_length_a 9.2247
_cell_length_b 2.7635
_cell_length_c 4.8182
_cell_angle_alpha 90.00
_cell_angle_beta 99.50
_cell_angle_gamma 90.00
_symmetry_space_group_name_H-M 'C 1 2/m 1'
_symmetry_Int_Tables_number 12
_symmetry_space_group_name_Hall '-C 2y'
loop_
_atom_site_label
_atom_site_type_symbol
_atom_site_fract_x
_atom_site_fract_y
_atom_site_fract_z
Tc1 Tc 0.0000 0.0000 0.0000
Rh1 Rh 0.0000 0.5000 0.5000
Au1 Au 0.2474 0.5000 0.2483

=====

Which value of VASP energy does entry 1 give? -8.59 eV/atom

=====

Which value of D(E_F) does entry 3 give? 0.98 states/eV/atom